12
Lattice="5.0612 -0.1019 -0.0028 -0.0390 5.8872 -0.0073 0.0036 0.0086 6.7230" Properties=species:S:1:pos:R:3 comment="K2USbO8 (GGA-PBE, optimized geometry)" crystal_system=monoclinic formation_energy_uncorrected_ev_per_atom=-1.7627 sg=P2/m n_ef_per_ev_cell=0.68 pbc="T T T"
O 4.6633 1.1662 5.2557
O 1.5920 0.9833 3.3595
O 2.8593 5.2758 -0.0082
O 0.3644 4.6324 5.2541
O 4.6614 1.1614 1.4589
O 2.1665 0.5180 6.7212
O 3.4338 4.8106 3.3535
O 0.3624 4.6276 1.4572
Sb 0.0000 0.0000 0.0000
K 2.5118 2.8947 1.6472
K 2.5140 2.8992 5.0657
U 0.0018 0.0043 3.3615